Record 1
Y2Mg3Au2: optimized geometry, GGA-PBE.

Output
Uncorrected energy (eV per atom): -4.045
E_form (eV/atom): -0.578

Lattice parameters (Å, degrees): 10.1605 4.5593 7.4520 90.00 111.09 90.00
Last column: nearest neighbours and their distance in Å.
Positions (direct):
Y 0.1377 0.0000 0.2880  4 Au 3.04-3.06, 3 Mg 3.35-3.36
Y 0.3623 0.5000 0.7120  4 Au 3.04-3.06, 3 Mg 3.35-3.36
Y 0.6377 0.5000 0.2880  4 Au 3.04-3.06, 3 Mg 3.35-3.36
Y 0.8623 0.0000 0.7120  4 Au 3.04-3.06, 3 Mg 3.35-3.36
Mg 0.0000 0.5000 0.5000  4 Au 2.90, 2 Mg 3.04
Mg 0.1292 0.5000 0.9367  3 Au 2.75-2.94, 1 Mg 3.04
Mg 0.3708 0.0000 0.0633  3 Au 2.75-2.94, 1 Mg 3.04
Mg 0.5000 0.0000 0.5000  4 Au 2.90, 2 Mg 3.04
Mg 0.6292 0.0000 0.9367  3 Au 2.75-2.94, 1 Mg 3.04
Mg 0.8708 0.5000 0.0633  3 Au 2.75-2.94, 1 Mg 3.04
Au 0.1599 0.0000 0.7067  5 Mg 2.75-2.94, 4 Y 3.04-3.06
Au 0.3401 0.5000 0.2933  5 Mg 2.75-2.94, 4 Y 3.04-3.06
Au 0.6599 0.5000 0.7067  5 Mg 2.75-2.94, 4 Y 3.04-3.06
Au 0.8401 0.0000 0.2933  5 Mg 2.75-2.94, 4 Y 3.04-3.06

Record 2
Y2MgSb: optimized geometry, GGA-PBE.

Output
Uncorrected energy (eV per atom): -5.089
Uncorrected formation energy (eV per formula unit): -1.7
Energy above the lowest structure with this stoichiometry (kcal/mol of atoms): 3.84

Lattice parameters (Å, degrees): 4.1656 4.1656 24.8074 90.00 90.00 120.00
Last column: nearest neighbours and their distance in Å.
Positions (direct):
Y 0.0000 0.0000 0.2401  3 Sb 3.02, 3 Mg 3.34
Y 0.0000 0.0000 0.7599  3 Sb 3.02, 3 Mg 3.34
Y 0.3333 0.6667 0.4265  3 Sb 3.02, 3 Mg 3.34
Y 0.3333 0.6667 0.9068  3 Sb 3.02, 3 Mg 3.34
Y 0.6667 0.3333 0.0932  3 Sb 3.02, 3 Mg 3.34
Y 0.6667 0.3333 0.5735  3 Sb 3.02, 3 Mg 3.34
Mg 0.0000 0.0000 0.0000  6 Y 3.34
Mg 0.3333 0.6667 0.6667  6 Y 3.34
Mg 0.6667 0.3333 0.3333  6 Y 3.34
Sb 0.0000 0.0000 0.5000  6 Y 3.02
Sb 0.3333 0.6667 0.1667  6 Y 3.02
Sb 0.6667 0.3333 0.8333  6 Y 3.02

Q: uncorrected energy of number 2 (Y2MgSb)?
A: -5.089 eV per atom